{
  "formula": "K2GeF6",
  "functional": "meta-GGA SCAN",
  "state": "single point on PBEsol structure",
  "lattice": [[5.701, 0.000, 0.000], [-2.850, 4.937, 0.000], [0.000, 0.000, 9.292]],
  "species": ["K", "K", "K", "K", "Ge", "Ge", "F", "F", "F", "F", "F", "F", "F", "F", "F", "F", "F", "F"],
  "fractional_positions": [[0.000, 0.000, 0.000], [0.000, 0.000, 0.500], [0.333, 0.667, 0.224], [0.667, 0.333, 0.724], [0.333, 0.667, 0.840], [0.667, 0.333, 0.340], [0.035, 0.517, 0.955], [0.180, 0.360, 0.732], [0.180, 0.820, 0.732], [0.360, 0.180, 0.232], [0.483, 0.517, 0.955], [0.483, 0.965, 0.955], [0.517, 0.035, 0.455], [0.517, 0.483, 0.455], [0.640, 0.820, 0.732], [0.820, 0.180, 0.232], [0.820, 0.640, 0.232], [0.965, 0.483, 0.455]],
  "spacegroup": "P6_3mc (186)",
  "e_form_raw_ev_per_atom": -2.93,
  "magnetic_moment_mub_per_fu": 0.0,
  "energy_ev_per_atom": -9.26
}

***

{
  "formula": "K2GeF6",
  "functional": "meta-GGA SCAN",
  "state": "single point on PBEsol structure",
  "lattice": [[5.610, 0.000, 0.000], [-2.805, 4.858, 0.000], [0.000, 0.000, 4.642]],
  "species": ["K", "K", "Ge", "F", "F", "F", "F", "F", "F"],
  "fractional_positions": [[0.333, 0.667, 0.203], [0.667, 0.333, 0.797], [0.000, 0.000, 0.500], [0.155, 0.310, 0.720], [0.155, 0.845, 0.720], [0.310, 0.155, 0.280], [0.690, 0.845, 0.720], [0.845, 0.155, 0.280], [0.845, 0.690, 0.280]],
  "spacegroup": "P-3m1 (164)",
  "e_form_raw_ev_per_atom": -2.93,
  "magnetic_moment_mub_per_fu": 0.0,
  "energy_ev_per_atom": -9.26
}

***

{
  "formula": "KGeNF2",
  "functional": "meta-GGA SCAN",
  "state": "single point on PBEsol structure",
  "lattice": [[4.534, 0.000, 0.000], [0.000, 4.534, 0.000], [0.000, 0.000, 4.781]],
  "species": ["K", "Ge", "N", "F", "F"],
  "fractional_positions": [[0.000, 0.000, 0.000], [0.500, 0.500, 0.500], [0.000, 0.000, 0.500], [0.000, 0.500, 0.000], [0.500, 0.000, 0.000]],
  "spacegroup": "P4/mmm (123)",
  "e_form_raw_ev_per_atom": 0.08,
  "magnetic_moment_mub_per_fu": 2.0,
  "energy_ev_per_atom": -8.68
}

***

{
  "formula": "KGeO2F",
  "functional": "meta-GGA SCAN",
  "state": "single point on PBEsol structure",
  "lattice": [[3.689, 0.000, 0.000], [0.000, 3.689, 0.000], [0.000, 0.000, 4.215]],
  "species": ["K", "Ge", "O", "O", "F"],
  "fractional_positions": [[0.000, 0.000, 0.000], [0.500, 0.500, 0.500], [0.000, 0.500, 0.500], [0.500, 0.000, 0.500], [0.500, 0.500, 0.000]],
  "spacegroup": "P4/mmm (123)",
  "e_form_raw_ev_per_atom": -1.98,
  "magnetic_moment_mub_per_fu": 0.0,
  "energy_ev_per_atom": -10.66
}

***

{
  "formula": "KGeOs2F",
  "functional": "meta-GGA SCAN",
  "state": "single point on PBEsol structure",
  "lattice": [[4.590, 0.000, 0.000], [0.000, 4.590, 0.000], [0.000, 0.000, 5.271]],
  "species": ["K", "Ge", "Os", "Os", "F"],
  "fractional_positions": [[0.000, 0.000, 0.000], [0.500, 0.500, 0.500], [0.000, 0.500, 0.500], [0.500, 0.000, 0.500], [0.500, 0.500, 0.000]],
  "spacegroup": "P4/mmm (123)",
  "e_form_raw_ev_per_atom": 0.84,
  "magnetic_moment_mub_per_fu": 3.9,
  "energy_ev_per_atom": -34.11
}

***

{
  "formula": "LiGeF2",
  "functional": "meta-GGA SCAN",
  "state": "single point on PBEsol structure",
  "lattice": [[0.000, 2.934, 2.934], [2.934, 0.000, 2.934], [2.934, 2.934, 0.000]],
  "species": ["Li", "Ge", "F", "F"],
  "fractional_positions": [[0.000, 0.000, 0.000], [0.500, 0.500, 0.500], [0.250, 0.250, 0.250], [0.750, 0.750, 0.750]],
  "spacegroup": "Fm-3m (225)",
  "e_form_raw_ev_per_atom": -1.35,
  "magnetic_moment_mub_per_fu": 0.1,
  "energy_ev_per_atom": -8.49
}

***

Repeat the fourth record exactly.
{
  "formula": "KGeO2F",
  "functional": "meta-GGA SCAN",
  "state": "single point on PBEsol structure",
  "lattice": [[3.689, 0.000, 0.000], [0.000, 3.689, 0.000], [0.000, 0.000, 4.215]],
  "species": ["K", "Ge", "O", "O", "F"],
  "fractional_positions": [[0.000, 0.000, 0.000], [0.500, 0.500, 0.500], [0.000, 0.500, 0.500], [0.500, 0.000, 0.500], [0.500, 0.500, 0.000]],
  "spacegroup": "P4/mmm (123)",
  "e_form_raw_ev_per_atom": -1.98,
  "magnetic_moment_mub_per_fu": 0.0,
  "energy_ev_per_atom": -10.66
}